The following is a DFT calculation (PBE) of a relaxed Th8GeAs3Se4 crystal.

Unit cell a=8.458 b=8.458 c=8.458 alpha=60.32 beta=60.32 gamma=60.32
Positions (direct):
Th  0.248  0.248  0.248
Th  0.249  0.747  0.747
Th  0.253  0.253  0.751
Th  0.253  0.751  0.253
Th  0.747  0.249  0.747
Th  0.747  0.747  0.249
Th  0.751  0.253  0.253
Th  0.752  0.752  0.752
Ge  0.500  0.500  0.500
As  0.000  0.000  0.500
As  0.000  0.500  0.000
As  0.500  0.000  0.000
Se  0.000  0.000  0.000
Se  0.000  0.500  0.500
Se  0.500  0.000  0.500
Se  0.500  0.500  0.000

Values from the calculation:
**Raw formation energy**: -2213.4 kJ/mol of formula units